(1)
# TmZnHg2 | Alexandria | PBE | optimized geometry
data_TmZnHg2
_chemical_formula_sum 'Tm1 Zn1 Hg2'
_cell_length_a 4.9646
_cell_length_b 4.9646
_cell_length_c 4.9646
_cell_angle_alpha 60.00
_cell_angle_beta 60.00
_cell_angle_gamma 60.00
_space_group_name_H-M_alt 'P 1'
_space_group_IT_number 1
loop_
_space_group_symop_operation_xyz
'x,y,z'
loop_
_atom_site_label
_atom_site_type_symbol
_atom_site_fract_x
_atom_site_fract_y
_atom_site_fract_z
_atom_site_occupancy
Tm1 Tm 0.0000 0.0000 0.0000 1
Zn1 Zn 0.5000 0.5000 0.5000 1
Hg1 Hg 0.2500 0.2500 0.2500 1
Hg2 Hg 0.7500 0.7500 0.7500 1
# Calculated total energy in eV/atom: -1.86
# N(E_F) in states/eV per cell: 2.10
# Energy relative to the elements in eV/atom: -0.27
# Calculated volume in Å³/f.u.: 86.5
# E above lowest polymorph in meV/atom: 0.0
# Space-group type: No. 225

(2)
# DyTmAlPb | Alexandria | PBE | optimized geometry
data_DyTmAlPb
_chemical_formula_sum 'Dy1 Tm1 Al1 Pb1'
_cell_length_a 5.2638
_cell_length_b 5.2638
_cell_length_c 5.2638
_cell_angle_alpha 60.00
_cell_angle_beta 60.00
_cell_angle_gamma 60.00
_space_group_name_H-M_alt 'P 1'
_space_group_IT_number 1
loop_
_space_group_symop_operation_xyz
'x,y,z'
loop_
_atom_site_label
_atom_site_type_symbol
_atom_site_fract_x
_atom_site_fract_y
_atom_site_fract_z
_atom_site_occupancy
Dy1 Dy 0.0000 0.0000 0.0000 1
Tm1 Tm 0.5000 0.5000 0.5000 1
Al1 Al 0.2500 0.2500 0.2500 1
Pb1 Pb 0.7500 0.7500 0.7500 1
# Calculated total energy in eV/atom: -4.44
# N(E_F) in states/eV per cell: 3.21
# Energy relative to the elements in eV/atom: -0.31
# Calculated volume in Å³/f.u.: 103.1
# Space-group type: No. 216

(3)
# Sr2TcP2N6 | Alexandria | PBE | optimized geometry
data_Sr2TcP2N6
_chemical_formula_sum 'Sr2 Tc1 P2 N6'
_cell_length_a 6.1842
_cell_length_b 6.1842
_cell_length_c 6.1842
_cell_angle_alpha 53.38
_cell_angle_beta 53.38
_cell_angle_gamma 53.38
_space_group_name_H-M_alt 'P 1'
_space_group_IT_number 1
loop_
_space_group_symop_operation_xyz
'x,y,z'
loop_
_atom_site_label
_atom_site_type_symbol
_atom_site_fract_x
_atom_site_fract_y
_atom_site_fract_z
_atom_site_occupancy
Sr1 Sr 0.2271 0.2271 0.2271 1
Sr2 Sr 0.7729 0.7729 0.7729 1
Tc1 Tc 0.0000 0.0000 0.0000 1
P1 P 0.4314 0.4314 0.4314 1
P2 P 0.5686 0.5686 0.5686 1
N1 N 0.2445 0.2445 0.7368 1
N2 N 0.2445 0.7368 0.2445 1
N3 N 0.2632 0.7555 0.7555 1
N4 N 0.7368 0.2445 0.2445 1
N5 N 0.7555 0.2632 0.7555 1
N6 N 0.7555 0.7555 0.2632 1
# Calculated total energy in eV/atom: -7.26
# E_form (uncorrected) in eV per atom: -0.49
# N(E_F) in states/eV per cell: 2.44
# Calculated volume in Å³/f.u.: 141.3
# Space-group type: No. 166

(4)
# Sc2PaFe9 | Alexandria | PBE | optimized geometry
data_Sc2PaFe9
_chemical_formula_sum 'Sc2 Pa1 Fe9'
_cell_length_a 8.5856
_cell_length_b 8.5856
_cell_length_c 8.5856
_cell_angle_alpha 33.15
_cell_angle_beta 33.15
_cell_angle_gamma 33.15
_space_group_name_H-M_alt 'P 1'
_space_group_IT_number 1
loop_
_space_group_symop_operation_xyz
'x,y,z'
loop_
_atom_site_label
_atom_site_type_symbol
_atom_site_fract_x
_atom_site_fract_y
_atom_site_fract_z
_atom_site_occupancy
Sc1 Sc 0.1435 0.1435 0.1435 1
Sc2 Sc 0.8565 0.8565 0.8565 1
Pa1 Pa 0.0000 0.0000 0.0000 1
Fe1 Fe 0.0833 0.5860 0.5860 1
Fe2 Fe 0.3328 0.3328 0.3328 1
Fe3 Fe 0.4140 0.4140 0.9167 1
Fe4 Fe 0.4140 0.9167 0.4140 1
Fe5 Fe 0.5000 0.5000 0.5000 1
Fe6 Fe 0.5860 0.0833 0.5860 1
Fe7 Fe 0.5860 0.5860 0.0833 1
Fe8 Fe 0.6672 0.6672 0.6672 1
Fe9 Fe 0.9167 0.4140 0.4140 1
# Calculated total energy in eV/atom: -8.37
# N(E_F) in states/eV per cell: 11.88
# Energy relative to the elements in eV/atom: -0.18
# Calculated volume in Å³/f.u.: 168.5
# Space-group type: No. 166

(5)
# Zr5Si | Alexandria | PBE | optimized geometry
data_Zr5Si
_chemical_formula_sum 'Zr5 Si1'
_cell_length_a 5.7300
_cell_length_b 5.7300
_cell_length_c 5.7300
_cell_angle_alpha 60.00
_cell_angle_beta 60.00
_cell_angle_gamma 60.00
_space_group_name_H-M_alt 'P 1'
_space_group_IT_number 1
loop_
_space_group_symop_operation_xyz
'x,y,z'
loop_
_atom_site_label
_atom_site_type_symbol
_atom_site_fract_x
_atom_site_fract_y
_atom_site_fract_z
_atom_site_occupancy
Zr1 Zr 0.0000 0.0000 0.0000 1
Zr2 Zr 0.1194 0.6269 0.6269 1
Zr3 Zr 0.6269 0.1194 0.6269 1
Zr4 Zr 0.6269 0.6269 0.1194 1
Zr5 Zr 0.6269 0.6269 0.6269 1
Si1 Si 0.2500 0.2500 0.2500 1
# Calculated total energy in eV/atom: -7.69
# E_form (uncorrected) in eV per atom: 0.34
# N(E_F) in states/eV per cell: 8.12
# Calculated volume in Å³/f.u.: 133.0
# E above lowest polymorph in meV/atom: 556.5
# Space-group type: No. 216

(6)
# HoCd6Ag12 | Alexandria | PBE | optimized geometry
data_HoCd6Ag12
_chemical_formula_sum 'Ho1 Cd6 Ag12'
_cell_length_a 7.7375
_cell_length_b 7.7375
_cell_length_c 7.7375
_cell_angle_alpha 104.65
_cell_angle_beta 104.65
_cell_angle_gamma 104.65
_space_group_name_H-M_alt 'P 1'
_space_group_IT_number 1
loop_
_space_group_symop_operation_xyz
'x,y,z'
loop_
_atom_site_label
_atom_site_type_symbol
_atom_site_fract_x
_atom_site_fract_y
_atom_site_fract_z
_atom_site_occupancy
Ho1 Ho 0.0000 0.0000 0.0000 1
Cd1 Cd 0.2986 0.2986 0.6963 1
Cd2 Cd 0.2986 0.6963 0.2986 1
Cd3 Cd 0.3037 0.7014 0.7014 1
Cd4 Cd 0.6963 0.2986 0.2986 1
Cd5 Cd 0.7014 0.3037 0.7014 1
Cd6 Cd 0.7014 0.7014 0.3037 1
Ag1 Ag 0.1051 0.3463 0.3463 1
Ag2 Ag 0.1111 0.5000 0.8889 1
Ag3 Ag 0.1111 0.8889 0.5000 1
Ag4 Ag 0.3463 0.1051 0.3463 1
Ag5 Ag 0.3463 0.3463 0.1051 1
Ag6 Ag 0.5000 0.1111 0.8889 1
Ag7 Ag 0.5000 0.8889 0.1111 1
Ag8 Ag 0.6537 0.6537 0.8949 1
Ag9 Ag 0.6537 0.8949 0.6537 1
Ag10 Ag 0.8889 0.1111 0.5000 1
Ag11 Ag 0.8889 0.5000 0.1111 1
Ag12 Ag 0.8949 0.6537 0.6537 1
# Calculated total energy in eV/atom: -2.26
# N(E_F) in states/eV per cell: 7.84
# Energy relative to the elements in eV/atom: 0.07
# Calculated volume in Å³/f.u.: 408.0
# Space-group type: No. 166

> What is the calculated volume in the sixth record?

408.0 Å³/f.u.

> Which of these has the lowest calculated volume?

TmZnHg2